# K3Li2USe6 (PBE, relaxed)
# * formation energy from raw total energies: -1.077 eV per atom
# * space-group type: No. 12
# * crystal system: monoclinic
data_K3Li2USe6
_cell_length_a 7.147
_cell_length_b 7.147
_cell_length_c 7.963
_cell_angle_alpha 98.52
_cell_angle_beta 98.52
_cell_angle_gamma 120.16
_space_group_name_H-M_alt 'P 1'
_space_group_IT_number 1
loop_
_space_group_symop_operation_xyz
'x,y,z'
loop_
_atom_site_label
_atom_site_fract_x
_atom_site_fract_y
_atom_site_fract_z
K1 0.172 0.828 0.500
K2 0.828 0.172 0.500
K3 0.500 0.500 0.500
Li1 0.333 0.667 0.000
Li2 0.667 0.333 0.000
U1 0.000 0.000 0.000
Se1 0.934 0.618 0.803
Se2 0.752 0.752 0.199
Se3 0.066 0.382 0.197
Se4 0.618 0.934 0.803
Se5 0.248 0.248 0.801
Se6 0.382 0.066 0.197